Record 1
VASP calculation (PBE) on an optimized crystal structure of CsKI2O.

a b c (Å): 7.3101 7.3101 4.4504
angles (deg): 90.00 90.00 90.00
Site moments in Bohr magnetons follow the coordinates.
Fractional positions:
I 0.5000 0.0000 0.0000  0.20
I 0.0000 0.5000 0.0000  0.20
Cs 0.0000 0.0000 0.0000  0.01
K 0.5000 0.5000 0.5000  0.00
O 0.0000 0.0000 0.5000  0.13

Summary:
SG	P4/mmm, No. 123
crystal system	tetragonal
total energy	-2.51	eV per atom
DOS(E_F)	6.13	states/eV per cell
energy above the most stable polymorph in this dataset	157.8	meV/atom
formation energy (no corrections)	-0.51	eV/atom

Record 2
VASP calculation (PBE) on an optimized crystal structure of CaBeBi2Os.

a b c (Å): 5.1865 4.2924 5.1865
angles (deg): 90.00 90.00 90.00
Fractional positions:
Bi 0.0000 0.0000 0.5000
Bi 0.5000 0.0000 0.0000
Ca 0.5000 0.5000 0.5000
Os 0.0000 0.5000 0.0000
Be 0.0000 0.0000 0.0000

Summary:
SG	P4/mmm, No. 123
crystal system	tetragonal
total energy	-4.54	eV per atom
energy of formation	0.41	eV/atom
DOS(E_F)	3.00	states/eV per cell

Record 3
VASP calculation (PBE) on an optimized crystal structure of Rb2Mo9Se10.

a b c (Å): 14.0140 14.0140 14.0140
angles (deg): 40.52 40.52 40.52
Fractional positions:
Rb 0.5752 0.5752 0.5752
Rb 0.4248 0.4248 0.4248
Rb 0.2943 0.2943 0.2943
Rb 0.7057 0.7057 0.7057
Mo 0.6855 0.9985 0.8735
Mo 0.8961 0.0793 0.7614
Mo 0.9207 0.2386 0.1039
Mo 0.2386 0.1039 0.9207
Mo 0.9985 0.8735 0.6855
Mo 0.1039 0.9207 0.2386
Mo 0.9884 0.8036 0.1189
Mo 0.1964 0.8811 0.0116
Mo 0.8735 0.6855 0.9985
Mo 0.1265 0.3145 0.0015
Mo 0.3145 0.0015 0.1265
Mo 0.8811 0.0116 0.1964
Mo 0.0116 0.1964 0.8811
Mo 0.0793 0.7614 0.8961
Mo 0.8036 0.1189 0.9884
Mo 0.0015 0.1265 0.3145
Mo 0.7614 0.8961 0.0793
Mo 0.1189 0.9884 0.8036
Se 0.7999 0.7999 0.7999
Se 0.8170 0.1871 0.5665
Se 0.9334 0.3025 0.6774
Se 0.8129 0.4335 0.1830
Se 0.9441 0.5851 0.2040
Se 0.0666 0.6975 0.3226
Se 0.2001 0.2001 0.2001
Se 0.1871 0.5665 0.8170
Se 0.3226 0.0666 0.6975
Se 0.0559 0.4149 0.7960
Se 0.4335 0.1830 0.8129
Se 0.6975 0.3226 0.0666
Se 0.3025 0.6774 0.9334
Se 0.4149 0.7960 0.0559
Se 0.5665 0.8170 0.1871
Se 0.6774 0.9334 0.3025
Se 0.2040 0.9441 0.5851
Se 0.1830 0.8129 0.4335
Se 0.7960 0.0559 0.4149
Se 0.5851 0.2040 0.9441

Summary:
SG	R-3, No. 148
crystal system	trigonal
total energy	-7.07	eV per atom
DOS(E_F)	9.06	states/eV per cell
formation energy (no corrections)	-0.68	eV/atom

Record 4
VASP calculation (PBE) on an optimized crystal structure of NiGePd3.

a b c (Å): 4.5955 4.5955 4.5955
angles (deg): 90.00 90.00 90.00
Site moments in Bohr magnetons follow the coordinates.
Fractional positions:
Ni 0.5000 0.5000 0.5000  0.88
Ge 0.0000 0.0000 0.0000  -0.02
Pd 0.0000 0.0000 0.5000  -0.01
Pd 0.0000 0.5000 0.0000  -0.05
Pd 0.5000 0.0000 0.0000  -0.06

Summary:
SG	Pm-3m, No. 221
crystal system	cubic
total energy	-4.63	eV per atom
energy of formation	0.57	eV/atom
DOS(E_F)	8.86	states/eV per cell
energy above the most stable polymorph in this dataset	0.0	meV/atom

Record 5
VASP calculation (PBE) on an optimized crystal structure of FePt2Pb.

a b c (Å): 9.2244 9.2244 9.2244
angles (deg): 18.74 18.74 18.74
Site moments in Bohr magnetons follow the coordinates.
Fractional positions:
Pt 0.9959 0.9959 0.9959  0.07
Pt 0.2453 0.2453 0.2453  0.35
Pb 0.7513 0.7513 0.7513  -0.01
Fe 0.5074 0.5074 0.5074  2.94

Summary:
SG	R3m, No. 160
crystal system	trigonal
total energy	-5.76	eV per atom
energy of formation	0.30	eV/atom
DOS(E_F)	3.47	states/eV per cell

Record 6
VASP calculation (PBE) on an optimized crystal structure of Zn2HgF6.

a b c (Å): 5.6568 5.6568 5.7961
angles (deg): 60.79 60.79 60.00
Fractional positions:
Hg 0.7834 0.7834 0.6497
F 0.1084 0.3918 0.8525
F 0.8835 0.5197 0.3625
F 0.5197 0.2343 0.3625
F 0.3918 0.6473 0.8525
F 0.2343 0.8835 0.3625
F 0.6473 0.1084 0.8525
Zn 0.2809 0.2809 0.1572
Zn 0.4849 0.4849 0.5452

Summary:
SG	R3, No. 146
crystal system	trigonal
total energy	-3.52	eV per atom
DOS(E_F)	0.00	states/eV per cell
energy above the most stable polymorph in this dataset	0.0	meV/atom
formation energy (no corrections)	-1.96	eV/atom